No. 1
A relaxed structure of PrEuIn. Source: Alexandria, functional PBE.

Cell lengths 3.6815, 5.4538, 5.4538 Å; angles 120.00, 90.00, 90.00 degrees
Each line ends with the local moment (μB).
Element x y z (fractional)
1 Eu 0.9771 0.0000 0.0000  6.87
2 Pr 0.3658 0.3333 0.6667  -0.01
3 In 0.6571 0.6667 0.3333  -0.03

Computed properties:
Formation energy: -0.244 eV per atom
DOS at the Fermi energy: 2.2 states/eV/cell
Energy above the most stable polymorph in this dataset: 3.3 kJ/mol of atoms
Theoretical density: 7139 kg/m3
SG: No. 156
E: -6.18 eV per atom


No. 2
A relaxed structure of Nb2NiIr. Source: Alexandria, functional PBE.

Cell lengths 5.5564, 5.4879, 5.4879 Å; angles 72.53, 59.59, 59.59 degrees
Element x y z (fractional)
1 Nb 0.2142 0.2858 0.7858
2 Nb 0.2858 0.7142 0.2142
3 Nb 0.7858 0.7142 0.2142
4 Nb 0.7142 0.2858 0.7858
5 Ni 0.7500 0.2036 0.2964
6 Ni 0.2500 0.7964 0.7036
7 Ir 0.2500 0.2045 0.2955
8 Ir 0.7500 0.7955 0.7045

Computed properties:
Formation energy: -0.316 eV per atom
DOS at the Fermi energy: 8.6 states/eV/cell
Theoretical density: 11674 kg/m3
SG: No. 74
E: -9.01 eV per atom


No. 3
A relaxed structure of ScMn4Cd. Source: Alexandria, functional PBE.

Cell lengths 4.8871, 4.8871, 4.8871 Å; angles 60.00, 60.00, 60.00 degrees
Element x y z (fractional)
1 Sc 0.7500 0.7500 0.7500
2 Mn 0.8763 0.3746 0.3746
3 Mn 0.3746 0.3746 0.8763
4 Mn 0.3746 0.8763 0.3746
5 Mn 0.3746 0.3746 0.3746
6 Cd 0.0000 0.0000 0.0000

Computed properties:
Formation energy: 0.118 eV per atom
DOS at the Fermi energy: 5.7 states/eV/cell
Theoretical density: 7587 kg/m3
SG: No. 216
E: -7.20 eV per atom